LiSbTe2: relaxed, PBE.

Cell: 3.8097 3.8097 8.2250 Å, 90.00 90.00 111.56°
With the nearest neighbours (Å) after each atom.
Element x y z (fractional)
1 Li 0.5000 0.5000 0.2500  4 Te 2.88
2 Sb 0.5000 0.5000 0.7500  4 Te 3.06
3 Te 0.0000 0.0000 0.0152  2 Li 2.88, 2 Sb 3.06
4 Te 0.0000 0.0000 0.4848  2 Li 2.88, 2 Sb 3.06

For the volume, the calculation gives 27.76 Å³ per atom. For the uncorrected energy, the calculation gives -12.87 eV for the cell shown. The size of the total moment comes out at 0.000 μB/atom.

---

TaCoSe2: relaxed, PBE.

Cell: 7.4979 7.4979 7.4979 Å, 25.41 25.41 25.41°
With the nearest neighbours (Å) after each atom.
Element x y z (fractional)
1 Co 0.7500 0.7500 0.7500  6 Se 2.59
2 Se 0.0026 0.0026 0.0026  3 Co 2.59, 3 Ta 2.67
3 Se 0.4974 0.4974 0.4974  3 Co 2.59, 3 Ta 2.67
4 Ta 0.2500 0.2500 0.2500  6 Se 2.67

For the volume, the calculation gives 17.08 Å³ per atom. For the uncorrected energy, the calculation gives -26.18 eV for the cell shown. The size of the total moment comes out at 0.487 μB/atom.

---

Dy4ZnSi3: relaxed, PBE.

Cell: 4.2353 3.9290 10.7122 Å, 90.00 90.00 90.00°
With the nearest neighbours (Å) after each atom.
Element x y z (fractional)
1 Dy 0.5000 0.5000 0.3627  6 Si 2.97-3.11, 1 Zn 3.13
2 Dy 0.0000 0.5000 0.8562  5 Si 2.97-3.00, 2 Zn 3.12
3 Dy 0.0000 0.0000 0.1434  4 Zn 2.99, 3 Si 3.05-3.18
4 Dy 0.5000 0.0000 0.6403  7 Si 2.97-3.11
5 Zn 0.5000 0.5000 0.0708  2 Si 2.53
6 Si 0.0000 0.5000 0.5758  2 Si 2.52
7 Si 0.0000 0.0000 0.4281  2 Si 2.52
8 Si 0.5000 0.0000 0.9226  2 Zn 2.53

For the volume, the calculation gives 22.28 Å³ per atom. For the uncorrected energy, the calculation gives -41.51 eV for the cell shown. The size of the total moment comes out at 0.003 μB/atom.

---

LiTcAs2: relaxed, PBE.

Cell: 4.3594 4.3594 3.1673 Å, 90.00 90.00 90.00°
With the nearest neighbours (Å) after each atom.
Element x y z (fractional)
1 As 0.0000 0.0000 0.0000  4 Tc 2.69, 4 Li 2.69
2 As 0.5000 0.5000 0.0000  4 Li 2.69, 4 Tc 2.69
3 Li 0.5000 0.0000 0.5000  8 As 2.69
4 Tc 0.0000 0.5000 0.5000  8 As 2.69

For the volume, the calculation gives 15.05 Å³ per atom. The formation energy is -3.44 kJ/mol of atoms. For the uncorrected energy, the calculation gives -21.72 eV for the cell shown. The size of the total moment comes out at 0.000 μB/atom. The calculation puts the distance to the lowest polymorph of the same formula at 309 meV/atom.

---

Ca2Zn6Cu9: relaxed, PBE.

Cell: 5.1574 5.1574 12.3938 Å, 90.00 90.00 120.00°
With the nearest neighbours (Å) after each atom.
Element x y z (fractional)
1 Ca 0.0000 0.0000 0.6686  6 Zn 2.98, 12 Cu 3.28-3.32
2 Ca 0.0000 0.0000 0.3314  6 Zn 2.98, 12 Cu 3.28-3.32
3 Zn 0.3333 0.6667 0.0000  6 Cu 2.55
4 Zn 0.6667 0.3333 0.0000  6 Cu 2.55
5 Zn 0.3333 0.6667 0.6657  6 Cu 2.54-2.55
6 Zn 0.6667 0.3333 0.6657  6 Cu 2.54-2.55
7 Zn 0.6667 0.3333 0.3343  6 Cu 2.54-2.55
8 Zn 0.3333 0.6667 0.3343  6 Cu 2.54-2.55
9 Cu 0.5000 0.0000 0.8328  4 Zn 2.55, 4 Cu 2.58
10 Cu 0.0000 0.5000 0.8328  4 Zn 2.55, 4 Cu 2.58
11 Cu 0.5000 0.5000 0.8328  4 Zn 2.55, 4 Cu 2.58
12 Cu 0.5000 0.0000 0.1672  4 Zn 2.55, 4 Cu 2.58
13 Cu 0.0000 0.5000 0.1672  4 Zn 2.55, 4 Cu 2.58
14 Cu 0.5000 0.5000 0.1672  4 Zn 2.55, 4 Cu 2.58
15 Cu 0.5000 0.0000 0.5000  4 Zn 2.54, 4 Cu 2.58
16 Cu 0.0000 0.5000 0.5000  4 Zn 2.54, 4 Cu 2.58
17 Cu 0.5000 0.5000 0.5000  4 Zn 2.54, 4 Cu 2.58

For the volume, the calculation gives 16.79 Å³ per atom. The formation energy is -5.93 kJ/mol of atoms. For the uncorrected energy, the calculation gives -49.56 eV for the cell shown. The size of the total moment comes out at 0.000 μB/atom.

---

Ba2FeCl: relaxed, PBE.

Cell: 5.8057 5.8057 3.6660 Å, 90.00 90.00 90.00°
With the nearest neighbours (Å) after each atom.
Element x y z (fractional)
1 Cl 0.5000 0.0000 0.5000  8 Ba 3.43, 2 Cl 3.67
2 Ba 0.0000 0.0000 0.0000  4 Cl 3.43, 4 Fe 3.43, 2 Ba 3.67
3 Ba 0.5000 0.5000 0.0000  4 Cl 3.43, 4 Fe 3.43, 2 Ba 3.67
4 Fe 0.0000 0.5000 0.5000  8 Ba 3.43, 2 Fe 3.67

For the volume, the calculation gives 30.89 Å³ per atom. For the uncorrected energy, the calculation gives -15.52 eV for the cell shown. The size of the total moment comes out at 0.439 μB/atom. The calculation puts the distance to the lowest polymorph of the same formula at 100 meV/atom.

---

SrCeGa2: relaxed, PBE.

Cell: 3.6686 3.6686 7.8887 Å, 90.00 90.00 90.00°
With the nearest neighbours (Å) after each atom.
Element x y z (fractional)
1 Sr 0.5000 0.5000 0.5000  8 Ga 3.35, 4 Sr 3.67
2 Ga 0.0000 0.0000 0.7687  4 Ce 3.17, 4 Sr 3.35
3 Ga 0.0000 0.0000 0.2313  4 Ce 3.17, 4 Sr 3.35
4 Ce 0.5000 0.5000 0.0000  8 Ga 3.17

For the volume, the calculation gives 26.54 Å³ per atom. The formation energy is -37.31 kJ/mol of atoms. For the uncorrected energy, the calculation gives -15.22 eV for the cell shown. The size of the total moment comes out at 0.181 μB/atom.

---

PaBiPtO6: relaxed, PBE.

Cell: 5.0577 5.0577 10.2932 Å, 90.00 90.00 90.00°
With the nearest neighbours (Å) after each atom.
Element x y z (fractional)
1 Pa 0.5000 0.5000 0.4971  6 O 2.18-2.21
2 Pa 0.0000 0.0000 0.9971  6 O 2.18-2.21
3 Bi 0.5000 0.5000 0.1664  6 O 2.33-2.40
4 Bi 0.0000 0.0000 0.6664  6 O 2.33-2.40
5 Pt 0.5000 0.5000 0.8336  6 O 2.05-2.06
6 Pt 0.0000 0.0000 0.3336  6 O 2.05-2.06
7 O 0.1930 0.8070 0.4812  1 Pt 2.05, 1 Pa 2.20
8 O 0.8070 0.1930 0.4812  1 Pt 2.05, 1 Pa 2.20
9 O 0.3070 0.3070 0.9812  1 Pt 2.05, 1 Pa 2.20
10 O 0.6930 0.6930 0.9812  1 Pt 2.05, 1 Pa 2.20
11 O 0.1744 0.8256 0.1740  1 Pt 2.06, 1 Pa 2.21
12 O 0.8256 0.1744 0.1740  1 Pt 2.06, 1 Pa 2.21
13 O 0.3256 0.3256 0.6740  1 Pt 2.06, 1 Pa 2.21
14 O 0.6744 0.6744 0.6740  1 Pt 2.06, 1 Pa 2.21
15 O 0.7864 0.2136 0.8462  1 Pt 2.05, 1 Pa 2.18
16 O 0.2136 0.7864 0.8462  1 Pt 2.05, 1 Pa 2.18
17 O 0.7136 0.7136 0.3462  1 Pt 2.05, 1 Pa 2.18
18 O 0.2864 0.2864 0.3462  1 Pt 2.05, 1 Pa 2.18

For the volume, the calculation gives 14.63 Å³ per atom. For the uncorrected energy, the calculation gives -131.41 eV for the cell shown. The size of the total moment comes out at 0.000 μB/atom.

---

Cs3Ac3PuO8: relaxed, PBE.

Cell: 7.6357 7.6356 8.3060 Å, 117.38 90.00 120.00°
With the nearest neighbours (Å) after each atom.
Element x y z (fractional)
1 Cs 0.0000 0.0000 0.0000  6 O 3.20
2 Cs 0.0000 0.5000 0.0000  6 O 3.20
3 Cs 0.5000 0.5000 0.0000  6 O 3.20
4 Ac 0.5000 0.0000 0.5000  6 O 2.51-2.57
5 Ac 0.5000 0.5000 0.5000  6 O 2.51-2.57
6 Ac 0.0000 0.5000 0.5000  6 O 2.51-2.57
7 Pu 0.0000 0.0000 0.5000  6 O 2.28
8 O 0.2767 0.5534 0.3302  3 Ac 2.51
9 O 0.7233 0.4466 0.6698  3 Ac 2.51
10 O 0.7966 0.5932 0.3416  1 Pu 2.28
11 O 0.2034 0.4068 0.6584  1 Pu 2.28
12 O 0.7966 0.0449 0.3416  1 Pu 2.28
13 O 0.2034 0.9551 0.6584  1 Pu 2.28
14 O 0.2483 0.0449 0.3416  1 Pu 2.28
15 O 0.7517 0.9551 0.6584  1 Pu 2.28

For the volume, the calculation gives 23.69 Å³ per atom. For the uncorrected energy, the calculation gives -108.15 eV for the cell shown. The size of the total moment comes out at 0.267 μB/atom.

---

TePd2Br3: relaxed, PBE.

Cell: 3.8994 9.6181 9.9938 Å, 87.58 78.75 78.30°
With the nearest neighbours (Å) after each atom.
Element x y z (fractional)
1 Te 0.4320 0.4732 0.6627  4 Pd 2.59-2.69
2 Te 0.5680 0.5268 0.3373  4 Pd 2.59-2.69
3 Pd 0.8673 0.4205 0.8449  2 Br 2.47-2.55, 2 Te 2.69
4 Pd 0.1327 0.5795 0.1551  2 Br 2.47-2.55, 2 Te 2.69
5 Pd 0.6235 0.2862 0.4668  2 Br 2.59, 2 Te 2.59-2.61
6 Pd 0.3765 0.7138 0.5332  2 Br 2.59, 2 Te 2.59-2.61
7 Br 0.0391 0.1823 0.7394  1 Pd 2.47
8 Br 0.9609 0.8177 0.2606  1 Pd 2.47
9 Br 0.6873 0.6594 0.9660  3 Pd 2.55-2.79
10 Br 0.3127 0.3406 0.0340  3 Pd 2.55-2.79
11 Br 0.7516 0.8532 0.6435  2 Pd 2.59
12 Br 0.2484 0.1468 0.3565  2 Pd 2.59

For the volume, the calculation gives 30.00 Å³ per atom. For the uncorrected energy, the calculation gives -39.74 eV for the cell shown. The size of the total moment comes out at 0.000 μB/atom. The calculation puts the distance to the lowest polymorph of the same formula at 0 meV/atom.